a.
HfAsSe2Br, optimized geometry, DFT PBE; crystal system = tetragonal; size of the total moment = 0.000 μB/atom
1.0
5.072 0.000 0.000
0.000 5.072 0.000
0.000 0.000 5.445
As Hf Se Br
1 1 2 1
Cartesian
0.000 0.000 2.722 As
0.000 0.000 0.000 Hf
0.000 2.536 0.000 Se
2.536 0.000 0.000 Se
2.536 2.536 2.722 Br

=====

b.
HfAsSe2Br, optimized geometry, DFT PBE; crystal system = tetragonal; size of the total moment = 0.208 μB/atom
1.0
5.071 0.000 0.000
0.000 5.071 0.000
0.000 0.000 4.947
As Hf Se Br
1 1 2 1
Cartesian
0.000 0.000 0.000 As
2.535 2.535 2.474 Hf
0.000 2.535 0.000 Se
2.535 0.000 0.000 Se
0.000 0.000 2.474 Br

=====

c.
HfAsSe2Br, optimized geometry, DFT PBE; crystal system = tetragonal; size of the total moment = 0.000 μB/atom
1.0
5.036 0.000 0.000
0.000 5.036 0.000
0.000 0.000 4.964
As Hf Se Br
1 1 2 1
Cartesian
0.000 0.000 2.482 As
2.518 2.518 2.482 Hf
0.000 2.518 0.000 Se
2.518 0.000 0.000 Se
0.000 0.000 0.000 Br

=====

Ordering by calculated energy gives the sequence a, b, c, with the first entry being the most stable.

=====

a.
SrHfAsBr2, optimized geometry, DFT PBE; crystal system = tetragonal; size of the total moment = 0.183 μB/atom
1.0
-1.492 4.462 -2.852
-1.203 -3.171 -4.332
-5.822 -0.622 2.072
Sr As Hf Br
1 1 1 2
Cartesian
0.000 0.000 0.000 Sr
-2.911 -0.311 1.036 As
-4.258 0.334 -2.556 Hf
-0.602 -1.586 -2.166 Br
-0.746 2.231 -1.426 Br

=====

b.
SrHfAsBr2, optimized geometry, DFT PBE; crystal system = tetragonal; size of the total moment = 0.000 μB/atom
1.0
-0.372 2.841 4.400
-0.156 -4.415 2.838
5.291 0.071 0.401
Sr As Hf Br
1 1 1 2
Cartesian
2.382 -0.752 3.820 Sr
2.646 0.035 0.200 As
0.000 0.000 0.000 Hf
-0.078 -2.208 1.419 Br
-0.186 1.421 2.200 Br

=====

Ordering by calculated energy gives the sequence b, a, with the first entry being the most stable.

=====

a.
SrHfAs2Br, optimized geometry, DFT PBE; crystal system = tetragonal; size of the total moment = 0.104 μB/atom
1.0
-1.904 4.810 2.033
-1.676 -2.612 4.612
4.800 0.938 2.276
Sr As Hf Br
1 2 1 1
Cartesian
0.000 0.000 0.000 Sr
-0.838 -1.306 2.306 As
-0.952 2.405 1.016 As
0.610 1.568 4.460 Hf
2.400 0.469 1.138 Br

=====

b.
SrHfAs2Br, optimized geometry, DFT PBE; crystal system = tetragonal; size of the total moment = 0.000 μB/atom
1.0
-2.282 1.989 -4.205
-4.549 -1.935 1.554
-1.009 4.532 2.691
Sr As Hf Br
1 2 1 1
Cartesian
-3.920 2.293 0.020 Sr
-2.274 -0.968 0.777 As
-1.141 0.994 -2.103 As
0.000 0.000 0.000 Hf
-0.504 2.266 1.346 Br

=====

Ordering by calculated energy gives the sequence b, a, with the first entry being the most stable.

=====

a.
HfTaAsBr2, optimized geometry, DFT PBE; crystal system = tetragonal; size of the total moment = 0.351 μB/atom
1.0
4.991 0.000 0.000
0.000 4.991 0.000
0.000 0.000 5.209
As Hf Br Ta
1 1 2 1
Cartesian
0.000 0.000 2.604 As
2.496 2.496 2.604 Hf
0.000 2.496 0.000 Br
2.496 0.000 0.000 Br
0.000 0.000 0.000 Ta

=====

b.
HfTaAsBr2, optimized geometry, DFT PBE; crystal system = tetragonal; size of the total moment = 0.703 μB/atom
1.0
-2.961 -4.054 0.777
-0.401 -0.669 -5.020
4.355 -3.167 0.075
As Hf Br Ta
1 1 2 1
Cartesian
2.178 -1.583 0.037 As
0.000 0.000 0.000 Hf
-0.200 -0.335 -2.510 Br
-1.480 -2.027 0.389 Br
0.497 -3.945 -2.084 Ta

=====

Ordering by calculated energy gives the sequence a, b, with the first entry being the most stable.

=====

a.
HfTeAsBr2, optimized geometry, DFT PBE; crystal system = tetragonal; size of the total moment = 0.296 μB/atom
1.0
5.373 0.000 0.000
0.000 5.373 0.000
0.000 0.000 5.679
As Te Hf Br
1 1 1 2
Cartesian
0.000 0.000 2.839 As
0.000 0.000 0.000 Te
2.686 2.686 2.839 Hf
0.000 2.686 0.000 Br
2.686 0.000 0.000 Br

=====

b.
HfTeAsBr2, optimized geometry, DFT PBE; crystal system = tetragonal; size of the total moment = 0.053 μB/atom
1.0
-0.305 4.753 1.802
1.542 -1.634 4.571
5.309 0.898 -1.470
As Te Hf Br
1 1 1 2
Cartesian
2.654 0.449 -0.735 As
3.273 2.009 2.451 Te
0.000 0.000 0.000 Hf
0.771 -0.817 2.285 Br
-0.152 2.377 0.901 Br

=====

Ordering by calculated energy gives the sequence b, a, with the first entry being the most stable.

=====

a.
HfTlAs2Br, optimized geometry, DFT PBE; crystal system = tetragonal; size of the total moment = 0.000 μB/atom
1.0
-0.124 2.418 4.553
-3.121 -3.660 1.858
4.457 -2.944 1.685
Tl Hf As Br
1 1 2 1
Cartesian
0.606 -2.094 4.048 Tl
0.000 0.000 0.000 Hf
-1.560 -1.830 0.929 As
-0.062 1.209 2.277 As
2.229 -1.472 0.843 Br

=====

b.
HfTlAs2Br, optimized geometry, DFT PBE; crystal system = tetragonal; size of the total moment = 0.001 μB/atom
1.0
-1.174 -4.782 1.744
4.962 -1.474 -0.701
1.159 1.533 4.984
Tl Hf As Br
1 1 2 1
Cartesian
0.000 0.000 0.000 Tl
2.474 -2.362 3.013 Hf
2.481 -0.737 -0.350 As
-0.587 -2.391 0.872 As
0.580 0.766 2.492 Br

=====

Ordering by calculated energy gives the sequence a, b, with the first entry being the most stable.